# TbGa4Pd7 (GGA-PBE, optimized geometry)
data_TbGa4Pd7
_symmetry_space_group_name_H-M 'C 1 2/m 1'
_symmetry_Int_Tables_number 12
_cell_length_a 11.468
_cell_length_b 4.859
_cell_length_c 9.157
_cell_angle_alpha 90.00
_cell_angle_beta 125.38
_cell_angle_gamma 90.00
loop_
_symmetry_equiv_pos_as_xyz
'x,y,z'
'-x,-y,-z'
'-x,y,-z'
'x,-y,z'
'x+1/2,y+1/2,z'
'-x+1/2,-y+1/2,-z'
'-x+1/2,y+1/2,-z'
'x+1/2,-y+1/2,z'
loop_
_atom_site_label
_atom_site_type_symbol
_atom_site_fract_x
_atom_site_fract_y
_atom_site_fract_z
_atom_site_occupancy
Tb1 Tb 0.000 0.000 0.000 1
Ga1 Ga 0.081 0.500 0.781 1
Ga2 Ga 0.211 0.500 0.334 1
Pd1 Pd 0.000 0.500 0.000 1
Pd2 Pd 0.067 0.000 0.355 1
Pd3 Pd 0.154 0.500 0.573 1
Pd4 Pd 0.220 0.000 0.882 1
# * DOS at the Fermi energy: 0.3400 states/eV per atom
# * total moment: 0.0 Bohr magnetons per cell
# * E_form: -0.51 eV/atom
# * ρ: 9.442 g/cm³